{
  "formula": "Ce2Y2Ir3",
  "functional": "PBE-GGA",
  "state": "relaxed",
  "energy_ev_per_atom": -8.07,
  "vol_a3_per_cell": 326,
  "dos_at_fermi_per_ev_cell": 18.6,
  "ef_ev_per_atom": -0.73,
  "e_above_lowest_polymorph_kj_per_mol_atoms": 0.0,
  "lattice": [[7.078, 0.000, -2.503], [-3.539, 6.130, -2.503], [0.000, 0.000, 7.508]],
  "species": ["Ce", "Ce", "Ce", "Ce", "Y", "Y", "Y", "Y", "Ir", "Ir", "Ir", "Ir", "Ir", "Ir"],
  "fractional_positions": [[0.500, 0.381, 0.500], [0.000, 0.000, 0.381], [0.619, 0.119, 0.119], [0.881, 0.500, 0.000], [0.000, 0.000, 0.873], [0.500, 0.873, 0.500], [0.127, 0.627, 0.627], [0.373, 0.500, 0.000], [0.750, 0.628, 0.378], [0.250, 0.872, 0.122], [0.622, 0.750, 0.872], [0.878, 0.250, 0.628], [0.372, 0.122, 0.750], [0.128, 0.378, 0.250]]
}

***

{
  "formula": "Ce2YIr",
  "functional": "PBE-GGA",
  "state": "relaxed",
  "energy_ev_per_atom": -7.07,
  "vol_a3_per_cell": 119,
  "dos_at_fermi_per_ev_cell": 9.2,
  "ef_ev_per_atom": -0.27,
  "e_above_lowest_polymorph_kj_per_mol_atoms": 16.0,
  "lattice": [[3.916, 0.000, 0.000], [1.958, 3.391, 0.000], [1.958, 1.130, 8.951]],
  "species": ["Ce", "Ce", "Y", "Ir"],
  "fractional_positions": [[0.061, 0.061, 0.816], [0.272, 0.272, 0.184], [0.500, 0.500, 0.499], [0.667, 0.667, 0.000]]
}

***

{
  "formula": "CeY3Ir2",
  "functional": "PBE-GGA",
  "state": "relaxed",
  "energy_ev_per_atom": -7.78,
  "vol_a3_per_cell": 330,
  "dos_at_fermi_per_ev_cell": 19.4,
  "ef_ev_per_atom": -0.61,
  "lattice": [[6.846, 0.000, 0.000], [0.000, 7.077, 0.000], [-3.423, -3.538, 6.821]],
  "species": ["Ce", "Ce", "Y", "Y", "Y", "Y", "Y", "Y", "Ir", "Ir", "Ir", "Ir"],
  "fractional_positions": [[0.000, 0.500, 0.000], [0.000, 0.000, 0.000], [0.500, 0.250, 0.000], [0.500, 0.750, 0.000], [0.756, 0.006, 0.512], [0.244, 0.494, 0.488], [0.244, 0.994, 0.488], [0.756, 0.506, 0.512], [0.601, 0.369, 0.737], [0.863, 0.131, 0.263], [0.137, 0.869, 0.737], [0.399, 0.631, 0.263]]
}

***

What is the formula in the third record?
CeY3Ir2